(1)
Computed, not measured: crystalline Cs3Pm2YO6 at its relaxed geometry at the PBE-GGA level of DFT.

Space-group type: No. 12
VASP energy, eV for the cell shown: -79.0
Energy relative to the elements, uncorrected, eV/atom: -2.56

a = 6.303 Å, b = 6.303 Å, c = 7.237 Å
α = 98.34°, β = 98.34°, γ = 120.00°
Positions (direct):
Cs: 0.000 0.000 0.000
Cs: 0.334 0.666 0.000
Cs: 0.666 0.334 0.000
Pm: 0.167 0.833 0.500
Pm: 0.833 0.167 0.500
Y: 0.500 0.500 0.500
O: 0.118 0.444 0.333
O: 0.230 0.230 0.668
O: 0.444 0.118 0.333
O: 0.556 0.882 0.667
O: 0.770 0.770 0.332
O: 0.882 0.556 0.667

=====

(2)
Computed, not measured: crystalline Tl3ZnAg at its relaxed geometry at the PBE-GGA level of DFT.

Space-group type: No. 221
VASP energy, eV for the cell shown: -9.4
DFT formation energy, eV/atom: 0.357
Energy relative to the lowest polymorph listed for this composition, meV per atom: 0

a = 5.535 Å, b = 5.535 Å, c = 5.535 Å
α = 90.00°, β = 90.00°, γ = 90.00°
Positions (direct):
Tl: 0.000 0.000 0.500
Tl: 0.000 0.500 0.000
Tl: 0.500 0.000 0.000
Zn: 0.500 0.500 0.500
Ag: 0.000 0.000 0.000

=====

(3)
Computed, not measured: crystalline GaBi2BrO at its relaxed geometry at the PBE-GGA level of DFT.

Space-group type: No. 123
VASP energy, eV for the cell shown: -14.8
Energy relative to the elements, uncorrected, eV/atom: 0.52

a = 5.908 Å, b = 5.908 Å, c = 3.860 Å
α = 90.00°, β = 90.00°, γ = 90.00°
Positions (direct):
Ga: 0.000 0.000 0.000
Bi: 0.000 0.500 0.500
Bi: 0.500 0.000 0.500
Br: 0.500 0.500 0.500
O: 0.500 0.500 0.000

=====

(4)
Computed, not measured: crystalline AlTcSe4 at its relaxed geometry at the PBE-GGA level of DFT.

Space-group type: No. 216
VASP energy, eV for the cell shown: -22.2
Energy relative to the elements, uncorrected, eV/atom: 0.97

a = 5.690 Å, b = 5.690 Å, c = 5.690 Å
α = 60.00°, β = 60.00°, γ = 60.00°
Positions (direct):
Al: 0.000 0.000 0.000
Tc: 0.250 0.250 0.250
Se: 0.126 0.625 0.625
Se: 0.625 0.126 0.625
Se: 0.625 0.625 0.126
Se: 0.625 0.625 0.625

=====

(5)
Computed, not measured: crystalline Mg14ZrNi at its relaxed geometry at the PBE-GGA level of DFT.

Space-group type: No. 187
VASP energy, eV for the cell shown: -36.2
DFT formation energy, eV/atom: 0.028
Energy relative to the lowest polymorph listed for this composition, meV per atom: 4

a = 6.314 Å, b = 6.314 Å, c = 9.948 Å
α = 90.00°, β = 90.00°, γ = 120.00°
Positions (direct):
Mg: 0.000 0.000 0.238
Mg: 0.000 0.000 0.762
Mg: 0.016 0.508 0.262
Mg: 0.016 0.508 0.738
Mg: 0.327 0.163 0.500
Mg: 0.345 0.173 0.000
Mg: 0.492 0.508 0.262
Mg: 0.492 0.508 0.738
Mg: 0.492 0.984 0.262
Mg: 0.492 0.984 0.738
Mg: 0.827 0.173 0.000
Mg: 0.827 0.655 0.000
Mg: 0.837 0.163 0.500
Mg: 0.837 0.673 0.500
Zr: 0.333 0.667 0.000
Ni: 0.333 0.667 0.500

=====

(6)
Computed, not measured: crystalline Tc2OsSe at its relaxed geometry at the PBE-GGA level of DFT.

Space-group type: No. 25
VASP energy, eV for the cell shown: -33.9
Energy relative to the elements, uncorrected, eV/atom: 0.39

a = 2.909 Å, b = 3.881 Å, c = 5.424 Å
α = 90.00°, β = 90.00°, γ = 90.00°
Positions (direct):
Tc: 0.000 0.000 0.000
Tc: 0.500 0.500 0.330
Os: 0.000 0.000 0.503
Se: 0.500 0.500 0.831

=====

(7)
Computed, not measured: crystalline Al2CdIr at its relaxed geometry at the PBE-GGA level of DFT.

Space-group type: No. 35
VASP energy, eV for the cell shown: -34.5
DFT formation energy, eV/atom: 0.008

a = 2.891 Å, b = 4.920 Å, c = 9.806 Å
α = 90.00°, β = 90.00°, γ = 90.00°
Positions (direct):
Al: 0.000 0.000 0.000
Al: 0.000 0.500 0.244
Al: 0.500 0.000 0.244
Al: 0.500 0.500 0.000
Cd: 0.000 0.500 0.705
Cd: 0.500 0.000 0.705
Ir: 0.000 0.000 0.446
Ir: 0.500 0.500 0.446

=====

(8)
Computed, not measured: crystalline ErAl2Fe6 at its relaxed geometry at the PBE-GGA level of DFT.

Space-group type: No. 71
VASP energy, eV for the cell shown: -62.0
DFT formation energy, eV/atom: 0.094

a = 6.727 Å, b = 6.727 Å, c = 6.727 Å
α = 144.35°, β = 132.38°, γ = 60.88°
Positions (direct):
Er: 0.000 0.000 0.000
Al: 0.384 0.884 0.500
Al: 0.616 0.116 0.500
Fe: 0.042 0.303 0.739
Fe: 0.310 0.500 0.810
Fe: 0.435 0.697 0.739
Fe: 0.565 0.303 0.261
Fe: 0.690 0.500 0.190
Fe: 0.958 0.697 0.261

=====

(9)
Computed, not measured: crystalline Rb2HfCoBr6 at its relaxed geometry at the PBE-GGA level of DFT.

Space-group type: No. 225
VASP energy, eV for the cell shown: -39.6
Energy relative to the elements, uncorrected, eV/atom: -1.06

a = 7.543 Å, b = 7.543 Å, c = 7.543 Å
α = 60.00°, β = 60.00°, γ = 60.00°
Positions (direct):
Rb: 0.250 0.250 0.250
Rb: 0.750 0.750 0.750
Hf: 0.000 0.000 0.000
Co: 0.500 0.500 0.500
Br: 0.251 0.251 0.749
Br: 0.251 0.749 0.251
Br: 0.251 0.749 0.749
Br: 0.749 0.251 0.251
Br: 0.749 0.251 0.749
Br: 0.749 0.749 0.251

=====

(10)
Computed, not measured: crystalline TlCoBr2 at its relaxed geometry at the PBE-GGA level of DFT.

Space-group type: No. 166
VASP energy, eV for the cell shown: -40.0
Energy relative to the lowest polymorph listed for this composition, meV per atom: 121
Energy relative to the elements, uncorrected, eV/atom: -0.13

a = 5.276 Å, b = 5.276 Å, c = 22.619 Å
α = 90.00°, β = 90.00°, γ = 120.00°
Positions (direct):
Tl: 0.000 0.000 0.000
Tl: 0.333 0.667 0.667
Tl: 0.667 0.333 0.333
Co: 0.000 0.000 0.500
Co: 0.333 0.667 0.167
Co: 0.667 0.333 0.833
Br: 0.000 0.000 0.399
Br: 0.000 0.000 0.601
Br: 0.333 0.667 0.066
Br: 0.333 0.667 0.267
Br: 0.667 0.333 0.733
Br: 0.667 0.333 0.934

=====

(11)
Computed, not measured: crystalline Ac8IrPd2 at its relaxed geometry at the PBE-GGA level of DFT.

Space-group type: No. 12
VASP energy, eV for the cell shown: -57.0
DFT formation energy, eV/atom: -0.443

a = 10.267 Å, b = 10.267 Å, c = 9.731 Å
α = 93.66°, β = 93.66°, γ = 23.84°
Positions (direct):
Ac: 0.012 0.012 0.208
Ac: 0.224 0.224 0.330
Ac: 0.349 0.349 0.028
Ac: 0.403 0.403 0.460
Ac: 0.597 0.597 0.540
Ac: 0.651 0.651 0.972
Ac: 0.776 0.776 0.670
Ac: 0.988 0.988 0.792
Ir: 0.500 0.500 0.000
Pd: 0.166 0.166 0.737
Pd: 0.834 0.834 0.263

=====

(12)
Computed, not measured: crystalline Fe2NiIrN at its relaxed geometry at the PBE-GGA level of DFT.

Space-group type: No. 123
VASP energy, eV for the cell shown: -39.0
Energy relative to the elements, uncorrected, eV/atom: 0.18

a = 3.702 Å, b = 3.702 Å, c = 3.886 Å
α = 90.00°, β = 90.00°, γ = 90.00°
Positions (direct):
Fe: 0.000 0.500 0.000
Fe: 0.500 0.000 0.000
Ni: 0.000 0.000 0.500
Ir: 0.500 0.500 0.500
N: 0.000 0.000 0.000